Here is a relaxed structure of LiLaSmPb from the Alexandria database. Energies are from PBE.

Unit cell a=5.487 b=5.487 c=5.487 alpha=60.00 beta=60.00 gamma=60.00
Sites, in units of the cell vectors:
Li  0.000  0.000  0.000
La  0.250  0.250  0.250
Sm  0.750  0.750  0.750
Pb  0.500  0.500  0.500

- E_form (eV per atom) = -0.32
- SG = No. 216
- calculated density (g/cm3) = 7.2

=====

Here is a relaxed structure of LiLaSnPb from the Alexandria database. Energies are from PBE.

Unit cell a=4.669 b=4.786 c=4.875 alpha=90.00 beta=90.00 gamma=90.00
Sites, in units of the cell vectors:
Li  0.000  0.000  0.000
La  0.000  0.500  0.500
Sn  0.500  0.000  0.500
Pb  0.500  0.500  0.000

- E_form (eV per atom) = -0.53
- SG = No. 47
- calculated density (g/cm3) = 7.2